La8SbSe3I4 | GGA-PBE | relaxed

## Properties
As for the symmetry: No. 166. Its formation energy from raw total energies is -1.425 eV per atom. For the volume, the calculation gives 521.5 Å³/cell. The density of states at the Fermi level comes out at 10.44 states/eV/f.u. The energy comes out at -83.00 eV/f.u.

Unit cell a=8.794 b=9.296 c=8.794 alpha=118.22 beta=120.00 gamma=90.00
Atoms (fractional coordinates):
La 0.734 0.703 0.469
Se 0.500 0.500 0.000
La 0.246 0.711 0.965
I 0.500 0.000 0.500
La 0.266 0.297 0.531
Se 0.500 0.500 0.500
I 0.000 0.000 0.000
I 0.500 0.000 0.000
La 0.246 0.711 0.492
Sb 0.000 0.500 0.000
La 0.754 0.289 0.508
La 0.281 0.289 0.035
La 0.719 0.711 0.965
I 0.000 0.000 0.500
Se 0.000 0.500 0.500
La 0.754 0.289 0.035



LaSbSeI2 | GGA-PBE | relaxed

## Properties
As for the symmetry: No. 123. Its formation energy from raw total energies is -0.132 eV per atom. For the distance to the lowest polymorph of the same formula, the calculation gives 0 meV/atom. For the volume, the calculation gives 177.9 Å³/cell. The density of states at the Fermi level comes out at 3.75 states/eV/f.u. The energy comes out at -16.30 eV/f.u.

Unit cell a=5.654 b=5.654 c=5.565 alpha=90.00 beta=90.00 gamma=90.00
Site moments in Bohr magnetons follow the coordinates.
Atoms (fractional coordinates):
Se 0.000 0.000 0.000  0.00
La 0.500 0.500 0.500  0.21
I 0.000 0.500 0.000  -0.01
Sb 0.000 0.000 0.500  -0.01
I 0.500 0.000 0.000  -0.01



LaSiSb2I | GGA-PBE | relaxed

## Properties
As for the symmetry: No. 123. Its formation energy from raw total energies is -0.111 eV per atom. For the distance to the lowest polymorph of the same formula, the calculation gives 0 meV/atom. For the volume, the calculation gives 154.5 Å³/cell. The density of states at the Fermi level comes out at 2.61 states/eV/f.u. The energy comes out at -20.70 eV/f.u.

Unit cell a=5.275 b=5.275 c=5.553 alpha=90.00 beta=90.00 gamma=90.00
Atoms (fractional coordinates):
Si 0.000 0.000 0.000
La 0.500 0.500 0.500
Sb 0.000 0.500 0.000
Sb 0.500 0.000 0.000
I 0.000 0.000 0.500



La6Si2SbI3 | GGA-PBE | relaxed

## Properties
As for the symmetry: No. 12. Its formation energy from raw total energies is -1.087 eV per atom. For the volume, the calculation gives 408.5 Å³/cell. The density of states at the Fermi level comes out at 7.02 states/eV/f.u. The energy comes out at -62.23 eV/f.u.

Unit cell a=7.794 b=7.794 c=8.185 alpha=99.14 beta=99.14 gamma=119.96
Atoms (fractional coordinates):
La 0.581 0.931 0.794
Sb 0.000 0.000 0.000
Si 0.333 0.667 0.000
La 0.419 0.069 0.206
I 0.500 0.500 0.500
La 0.283 0.283 0.796
La 0.069 0.419 0.206
Si 0.667 0.333 0.000
I 0.162 0.838 0.500
I 0.838 0.162 0.500
La 0.931 0.581 0.794
La 0.717 0.717 0.204



LaSiSb2I | GGA-PBE | relaxed

## Properties
As for the symmetry: No. 123. Its formation energy from raw total energies is 0.663 eV per atom. For the distance to the lowest polymorph of the same formula, the calculation gives 773 meV/atom. For the volume, the calculation gives 226.9 Å³/cell. The density of states at the Fermi level comes out at 7.20 states/eV/f.u. The energy comes out at -16.83 eV/f.u.

Unit cell a=6.149 b=6.149 c=6.002 alpha=90.00 beta=90.00 gamma=90.00
Atoms (fractional coordinates):
I 0.000 0.000 0.500
La 0.000 0.000 0.000
Sb 0.000 0.500 0.000
Si 0.500 0.500 0.500
Sb 0.500 0.000 0.000



La4SiSbI2 | GGA-PBE | relaxed

## Properties
As for the symmetry: No. 10. Its formation energy from raw total energies is -1.120 eV per atom. For the volume, the calculation gives 275.5 Å³/cell. The density of states at the Fermi level comes out at 4.88 states/eV/f.u. The energy comes out at -41.31 eV/f.u.

Unit cell a=4.506 b=8.109 c=7.952 alpha=71.46 beta=90.00 gamma=90.00
Atoms (fractional coordinates):
La 0.500 0.295 0.717
I 0.000 0.000 0.000
La 0.500 0.705 0.283
La 0.000 0.287 0.259
Si 0.000 0.500 0.500
Sb 0.500 0.500 0.000
La 0.000 0.713 0.741
I 0.500 0.000 0.500



LaSmSbI | GGA-PBE | relaxed

## Properties
As for the symmetry: No. 216. Its formation energy from raw total energies is -1.012 eV per atom. For the volume, the calculation gives 119.7 Å³/cell. The density of states at the Fermi level comes out at 3.72 states/eV/f.u. The energy comes out at -19.37 eV/f.u.

Unit cell a=5.532 b=5.532 c=5.532 alpha=60.00 beta=60.00 gamma=60.00
Atoms (fractional coordinates):
I 0.500 0.500 0.500
Sm 0.250 0.250 0.250
La 0.750 0.750 0.750
Sb 0.000 0.000 0.000



LaSn2SbI | GGA-PBE | relaxed

## Properties
As for the symmetry: No. 123. Its formation energy from raw total energies is 0.453 eV per atom. For the volume, the calculation gives 230.5 Å³/cell. The density of states at the Fermi level comes out at 5.91 states/eV/f.u. The energy comes out at -16.34 eV/f.u.

Unit cell a=6.258 b=5.887 c=6.258 alpha=90.00 beta=90.00 gamma=90.00
Atoms (fractional coordinates):
I 0.000 0.500 0.000
La 0.000 0.000 0.000
Sn 0.000 0.000 0.500
Sb 0.500 0.500 0.500
Sn 0.500 0.000 0.000



SrLaSbI2 | GGA-PBE | relaxed

## Properties
As for the symmetry: No. 123. Its formation energy from raw total energies is -0.537 eV per atom. For the distance to the lowest polymorph of the same formula, the calculation gives 343 meV/atom. For the volume, the calculation gives 228.6 Å³/cell. The density of states at the Fermi level comes out at 3.63 states/eV/f.u. The energy comes out at -16.52 eV/f.u.

Unit cell a=5.925 b=5.925 c=6.513 alpha=90.00 beta=90.00 gamma=90.00
Site moments in Bohr magnetons follow the coordinates.
Atoms (fractional coordinates):
La 0.500 0.500 0.500  0.24
Sr 0.000 0.000 0.000  0.00
Sb 0.000 0.000 0.500  -0.02
I 0.000 0.500 0.000  0.00
I 0.500 0.000 0.000  0.00



SrLaSbI2 | GGA-PBE | relaxed

## Properties
As for the symmetry: No. 123. Its formation energy from raw total energies is -0.880 eV per atom. For the distance to the lowest polymorph of the same formula, the calculation gives 0 meV/atom. For the volume, the calculation gives 238.3 Å³/cell. The density of states at the Fermi level comes out at 0.93 states/eV/f.u. The energy comes out at -18.23 eV/f.u.

Unit cell a=6.129 b=6.129 c=6.345 alpha=90.00 beta=90.00 gamma=90.00
Atoms (fractional coordinates):
La 0.000 0.000 0.000
Sb 0.000 0.000 0.500
I 0.000 0.500 0.000
Sr 0.500 0.500 0.500
I 0.500 0.000 0.000



SrLaSb2I | GGA-PBE | relaxed

## Properties
As for the symmetry: No. 123. Its formation energy from raw total energies is -0.522 eV per atom. For the distance to the lowest polymorph of the same formula, the calculation gives 0 meV/atom. For the volume, the calculation gives 225.0 Å³/cell. The density of states at the Fermi level comes out at 2.52 states/eV/f.u. The energy comes out at -19.01 eV/f.u.

Unit cell a=6.030 b=6.030 c=6.188 alpha=90.00 beta=90.00 gamma=90.00
Atoms (fractional coordinates):
I 0.000 0.000 0.500
Sr 0.500 0.500 0.500
La 0.000 0.000 0.000
Sb 0.500 0.000 0.000
Sb 0.000 0.500 0.000



SrLaSb2I | GGA-PBE | relaxed

## Properties
As for the symmetry: No. 123. Its formation energy from raw total energies is -0.147 eV per atom. For the distance to the lowest polymorph of the same formula, the calculation gives 375 meV/atom. For the volume, the calculation gives 208.4 Å³/cell. The density of states at the Fermi level comes out at 5.27 states/eV/f.u. The energy comes out at -17.14 eV/f.u.

Unit cell a=5.923 b=5.923 c=5.939 alpha=90.00 beta=90.00 gamma=90.00
Atoms (fractional coordinates):
Sb 0.000 0.500 0.000
Sb 0.500 0.000 0.000
La 0.500 0.500 0.500
Sr 0.000 0.000 0.000
I 0.000 0.000 0.500